(1)
Material: LuAl2Ir
Method: DFT, PBE
State: optimized geometry

Geometry as POSCAR:
```
LuAl2Ir
1.0
4.549 0.000 0.000
2.275 3.940 0.000
2.275 1.313 3.715
Ir Lu Al
1 1 2
Direct
0.000 0.000 0.000
0.500 0.500 0.500
0.750 0.750 0.750
0.250 0.250 0.250
```

total moment	0.0	μB per formula unit
DFT formation energy	-0.578	eV per atom

---

(2)
Material: Lu2Al9Ir3
Method: DFT, PBE
State: optimized geometry

Geometry as POSCAR:
```
Lu2Al9Ir3
1.0
7.519 0.004 0.000
-3.711 6.539 0.000
0.000 0.000 9.406
Lu Al Ir
4 18 6
Direct
0.996 0.672 0.250
0.004 0.328 0.750
0.672 0.996 0.250
0.328 0.004 0.750
0.129 0.129 0.250
0.871 0.871 0.750
0.001 0.335 0.076
0.999 0.665 0.924
0.999 0.665 0.576
0.335 0.001 0.424
0.001 0.335 0.424
0.665 0.999 0.576
0.665 0.999 0.924
0.335 0.001 0.076
0.333 0.333 0.554
0.667 0.667 0.446
0.667 0.667 0.054
0.333 0.333 0.946
0.340 0.550 0.250
0.660 0.450 0.750
0.550 0.340 0.250
0.450 0.660 0.750
0.672 0.328 0.000
0.328 0.672 0.000
0.328 0.672 0.500
0.672 0.328 0.500
0.000 0.000 0.000
0.000 0.000 0.500
```

total moment	0.0	μB per formula unit
DFT formation energy	-0.838	eV per atom

---

(3)
Material: LuAlIr2
Method: DFT, PBE
State: optimized geometry

Geometry as POSCAR:
```
LuAlIr2
1.0
3.388 0.000 0.000
0.000 4.386 0.000
0.000 0.000 4.386
Ir Lu Al
2 1 1
Direct
0.000 0.000 0.500
0.000 0.500 0.000
0.500 0.500 0.500
0.500 0.000 0.000
```

total moment	0.0	μB per formula unit
DFT formation energy	-0.874	eV per atom

---

(4)
Material: LuAlIr2
Method: DFT, PBE
State: optimized geometry

Geometry as POSCAR:
```
LuAlIr2
1.0
-2.302 1.891 0.891
-1.619 -0.773 -2.540
-2.859 -5.063 3.362
Ir Lu Al
2 1 1
Direct
0.000 0.000 0.781
0.000 0.000 0.219
0.500 0.500 0.500
0.500 0.500 0.000
```

total moment	0.0	μB per formula unit
DFT formation energy	-0.892	eV per atom

---

(5)
Material: Lu2AlIr
Method: DFT, PBE
State: optimized geometry

Geometry as POSCAR:
```
Lu2AlIr
1.0
3.465 0.000 0.000
0.000 3.465 0.000
0.000 0.000 6.838
Ir Lu Al
1 2 1
Direct
0.500 0.500 0.000
0.000 0.000 0.770
0.000 0.000 0.230
0.500 0.500 0.500
```

total moment	0.0	μB per formula unit
DFT formation energy	-0.710	eV per atom

---

(6)
Material: LuAlNiIr
Method: DFT, PBE
State: optimized geometry

Geometry as POSCAR:
```
LuAlNiIr
1.0
4.473 0.000 0.000
2.236 3.874 0.000
2.236 1.291 3.652
Ni Ir Lu Al
1 1 1 1
Direct
0.250 0.250 0.250
0.750 0.750 0.750
0.000 0.000 0.000
0.500 0.500 0.500
```

total moment	0.0	μB per formula unit
DFT formation energy	-0.711	eV per atom

---

(7)
Material: LuAlIrPd
Method: DFT, PBE
State: optimized geometry

Geometry as POSCAR:
```
LuAlIrPd
1.0
-3.189 3.076 -1.122
-4.406 -0.856 0.864
-2.181 2.328 3.273
Ir Lu Al Pd
1 1 1 1
Direct
0.000 0.000 0.000
0.750 0.750 0.750
0.250 0.250 0.250
0.500 0.500 0.500
```

total moment	0.0	μB per formula unit
DFT formation energy	-0.891	eV per atom

---

(8)
Material: PmLuAlIr
Method: DFT, PBE
State: optimized geometry

Geometry as POSCAR:
```
PmLuAlIr
1.0
4.989 0.000 0.000
2.495 4.321 0.000
2.495 1.440 4.074
Ir Lu Al Pm
1 1 1 1
Direct
0.250 0.250 0.250
0.000 0.000 0.000
0.750 0.750 0.750
0.500 0.500 0.500
```

total moment	0.0	μB per formula unit
DFT formation energy	-0.516	eV per atom